Entry 1:
VASP calculation (PBEsol) on an optimized crystal structure of Sr2LiTe.

Cell lengths 4.6136, 4.6136, 6.8174 Å; angles 90.00, 90.00, 90.00 degrees
Space group P4mm (No. 99)
Asymmetric unit:
1 Sr 0.0000 0.0000 0.0000
2 Sr 0.5000 0.5000 0.3764
3 Li 0.5000 0.5000 0.8658
4 Te 0.0000 0.0000 0.5038

Calculated values
crystal system	tetragonal
raw total energy	-11.67	eV per cell
total magnetization	0.00	μB per atom

Entry 2:
VASP calculation (PBEsol) on an optimized crystal structure of Sr4LaCrFe4O15.

Cell lengths 16.1138, 5.3649, 6.5808 Å; angles 90.00, 105.78, 90.00 degrees
Space group Cm (No. 8)
Asymmetric unit:
1 Sr 0.0000 0.0000 0.0000
2 Sr 0.0990 0.5000 0.3979
3 Sr 0.2986 0.5000 0.1941
4 Sr 0.4007 0.0000 0.5968
5 La 0.1988 0.0000 0.7975
6 Cr 0.3026 0.5000 0.6946
7 Fe 0.0001 0.0000 0.4944
8 Fe 0.0977 0.5000 0.8976
9 Fe 0.1983 0.0000 0.2941
10 Fe 0.4010 0.0000 0.1030
11 O 0.0512 0.2460 0.6982
12 O 0.1004 0.0000 0.4014
13 O 0.1497 0.2475 0.0940
14 O 0.1986 0.5000 0.7982
15 O 0.2477 0.2493 0.5072
16 O 0.2979 0.0000 0.1967
17 O 0.3438 0.2486 0.8948
18 O 0.3979 0.5000 0.6019
19 O 0.4491 0.2510 0.2976
20 O 0.4983 0.0000 0.9935

Calculated values
crystal system	monoclinic
raw total energy	-385.96	eV per cell
total magnetization	0.58	μB per atom

Entry 3:
VASP calculation (PBEsol) on an optimized crystal structure of Si2GeIrN.

Cell lengths 3.8460, 3.8460, 4.2436 Å; angles 90.00, 90.00, 90.00 degrees
Space group P4/mmm (No. 123)
Asymmetric unit:
1 Si 0.0000 0.5000 0.0000
2 Ge 0.0000 0.0000 0.5000
3 Ir 0.5000 0.5000 0.5000
4 N 0.0000 0.0000 0.0000

Calculated values
crystal system	tetragonal
raw total energy	-33.08	eV per cell
total magnetization	0.00	μB per atom

Entry 4:
VASP calculation (PBEsol) on an optimized crystal structure of CdTcSe.

Cell lengths 3.0379, 3.0379, 11.7538 Å; angles 90.00, 90.00, 90.00 degrees
Space group I4mm (No. 107)
Asymmetric unit:
1 Cd 0.0000 0.0000 0.0000
2 Tc 0.0000 0.0000 0.3346
3 Se 0.0000 0.0000 0.7256

Calculated values
crystal system	tetragonal
raw total energy	-32.84	eV per cell
total magnetization	0.00	μB per atom

Entry 5:
VASP calculation (PBEsol) on an optimized crystal structure of TlTe2.

Cell lengths 12.7529, 4.3601, 7.0693 Å; angles 90.00, 94.70, 90.00 degrees
Space group C2/m (No. 12)
Asymmetric unit:
1 Tl 0.1620 0.0000 0.3641
2 Te 0.0265 0.5000 0.7013
3 Te 0.1845 0.0000 0.9020

Calculated values
crystal system	monoclinic
E above lowest polymorph	0.012	eV per atom
total magnetization	0.00	μB per atom

Entry 6:
VASP calculation (PBEsol) on an optimized crystal structure of BaNaGa3.

Cell lengths 5.9025, 5.9025, 5.9025 Å; angles 90.00, 90.00, 90.00 degrees
Space group Pm-3m (No. 221)
Asymmetric unit:
1 Ba 0.0000 0.0000 0.0000
2 Na 0.5000 0.5000 0.5000
3 Ga 0.0000 0.0000 0.5000

Calculated values
crystal system	cubic
total magnetization	0.00	μB per atom
formation energy from the elements	0.78	eV/atom

Entry 7:
VASP calculation (PBEsol) on an optimized crystal structure of Rb2AlAgBr6.

Cell lengths 10.5543, 10.5543, 10.5543 Å; angles 90.00, 90.00, 90.00 degrees
Space group Fm-3m (No. 225)
Asymmetric unit:
1 Rb 0.2500 0.2500 0.2500
2 Al 0.0000 0.0000 0.0000
3 Ag 0.0000 0.0000 0.5000
4 Br 0.0000 0.0000 0.2378

Calculated values
crystal system	cubic
raw total energy	-130.24	eV per cell
total magnetization	0.00	μB per atom

Entry 8:
VASP calculation (PBEsol) on an optimized crystal structure of ZrRh2W.

Cell lengths 3.2608, 3.2608, 6.0303 Å; angles 90.00, 90.00, 90.00 degrees
Space group P4mm (No. 99)
Asymmetric unit:
1 Zr 0.0000 0.0000 0.0000
2 Rh 0.0000 0.0000 0.4993
3 Rh 0.5000 0.5000 0.2296
4 W 0.5000 0.5000 0.6895

Calculated values
crystal system	tetragonal
E above lowest polymorph	0.091	eV per atom
total magnetization	0.00	μB per atom
formation energy from the elements	-0.22	eV/atom

Entry 9:
VASP calculation (PBEsol) on an optimized crystal structure of Sc2AlIr.

Cell lengths 6.4159, 6.4159, 6.4159 Å; angles 90.00, 90.00, 90.00 degrees
Space group F-43m (No. 216)
Asymmetric unit:
1 Sc 0.0000 0.0000 0.0000
2 Sc 0.2500 0.2500 0.2500
3 Al 0.2500 0.2500 0.7500
4 Ir 0.0000 0.0000 0.5000

Calculated values
crystal system	cubic
E above lowest polymorph	0.011	eV per atom
total magnetization	0.00	μB per atom
formation energy from the elements	-0.72	eV/atom

Entry 10:
VASP calculation (PBEsol) on an optimized crystal structure of MnNbIN2.

Cell lengths 4.0251, 4.0251, 5.6953 Å; angles 90.00, 90.00, 90.00 degrees
Space group P4/mmm (No. 123)
Asymmetric unit:
1 Mn 0.0000 0.0000 0.0000
2 Nb 0.5000 0.5000 0.5000
3 I 0.5000 0.5000 0.0000
4 N 0.0000 0.5000 0.5000

Calculated values
crystal system	tetragonal
raw total energy	-36.32	eV per cell
total magnetization	0.96	μB per atom

Entry 11:
VASP calculation (PBEsol) on an optimized crystal structure of Sc5Ru3.

Cell lengths 10.1603, 10.1603, 5.6139 Å; angles 90.00, 90.00, 90.00 degrees
Space group I4/mcm (No. 140)
Asymmetric unit:
1 Sc 0.0000 0.5000 0.2500
2 Sc 0.0774 0.2120 0.0000
3 Ru 0.0000 0.0000 0.2500
4 Ru 0.1584 0.3416 0.5000

Calculated values
crystal system	tetragonal
E above lowest polymorph	0.041	eV per atom
total magnetization	0.00	μB per atom
formation energy from the elements	-0.36	eV/atom

Entry 12:
VASP calculation (PBEsol) on an optimized crystal structure of CaZnSN2.

Cell lengths 4.3851, 4.3851, 5.4495 Å; angles 90.00, 90.00, 90.00 degrees
Space group P4/mmm (No. 123)
Asymmetric unit:
1 Ca 0.0000 0.0000 0.0000
2 Zn 0.5000 0.5000 0.5000
3 S 0.0000 0.0000 0.5000
4 N 0.0000 0.5000 0.0000

Calculated values
crystal system	tetragonal
raw total energy	-18.34	eV per cell
total magnetization	0.88	μB per atom

Entry 13:
VASP calculation (PBEsol) on an optimized crystal structure of Nd2Zn5Pb.

Cell lengths 4.3924, 16.4165, 8.9943 Å; angles 90.00, 90.00, 90.00 degrees
Space group Cmcm (No. 63)
Asymmetric unit:
1 Nd 0.0000 0.0000 0.0000
2 Nd 0.0000 0.2051 0.2500
3 Zn 0.0000 0.1852 0.6099
4 Zn 0.0000 0.3404 0.5150
5 Zn 0.0000 0.3910 0.2500
6 Pb 0.0000 0.4460 0.7500

Calculated values
crystal system	orthorhombic
total magnetization	0.00	μB per atom
formation energy from the elements	-0.40	eV/atom

Entry 14:
VASP calculation (PBEsol) on an optimized crystal structure of Zn2SnHgBi.

Cell lengths 5.2213, 5.2213, 5.6395 Å; angles 90.00, 90.00, 90.00 degrees
Space group P4/mmm (No. 123)
Asymmetric unit:
1 Zn 0.0000 0.5000 0.0000
2 Sn 0.0000 0.0000 0.5000
3 Hg 0.5000 0.5000 0.5000
4 Bi 0.5000 0.5000 0.0000

Calculated values
crystal system	tetragonal
total magnetization	0.00	μB per atom
formation energy from the elements	0.71	eV/atom

Entry 15:
VASP calculation (PBEsol) on an optimized crystal structure of SrTl2Pd2.

Cell lengths 4.9060, 4.9060, 10.1502 Å; angles 90.00, 90.00, 90.00 degrees
Space group I4/mmm (No. 139)
Asymmetric unit:
1 Sr 0.0000 0.0000 0.0000
2 Tl 0.0000 0.0000 0.3566
3 Pd 0.0000 0.5000 0.2500

Calculated values
crystal system	tetragonal
total magnetization	0.00	μB per atom
formation energy from the elements	-0.35	eV/atom

Entry 16:
VASP calculation (PBEsol) on an optimized crystal structure of Y2TeO6.

Cell lengths 15.7843, 10.9886, 5.3903 Å; angles 90.00, 105.27, 90.00 degrees
Space group C2/c (No. 15)
Asymmetric unit:
1 Y 0.0000 0.1079 0.2500
2 Y 0.0000 0.3840 0.7500
3 Y 0.1720 0.1103 0.8926
4 Te 0.1587 0.3390 0.4129
5 O 0.0801 0.4578 0.4779
6 O 0.0887 0.2305 0.5669
7 O 0.0900 0.0121 0.0830
8 O 0.0945 0.2812 0.0826
9 O 0.2361 0.4555 0.3389
10 O 0.2491 0.2113 0.2772

Calculated values
crystal system	monoclinic
raw total energy	-572.89	eV per cell
total magnetization	0.00	μB per atom

Entry 17:
VASP calculation (PBEsol) on an optimized crystal structure of NaHgPS2.

Cell lengths 5.0962, 5.0962, 4.8953 Å; angles 90.00, 90.00, 90.00 degrees
Space group P4/mmm (No. 123)
Asymmetric unit:
1 Na 0.0000 0.0000 0.0000
2 Hg 0.5000 0.5000 0.5000
3 P 0.5000 0.5000 0.0000
4 S 0.0000 0.5000 0.5000

Calculated values
crystal system	tetragonal
raw total energy	-13.94	eV per cell
total magnetization	0.24	μB per atom

Entry 18:
VASP calculation (PBEsol) on an optimized crystal structure of TlSnSN2.

Cell lengths 4.2880, 4.2880, 5.3760 Å; angles 90.00, 90.00, 90.00 degrees
Space group P4/mmm (No. 123)
Asymmetric unit:
1 Tl 0.0000 0.0000 0.0000
2 Sn 0.5000 0.5000 0.5000
3 S 0.0000 0.0000 0.5000
4 N 0.0000 0.5000 0.0000

Calculated values
crystal system	tetragonal
raw total energy	-20.86	eV per cell
total magnetization	0.53	μB per atom

Entry 19:
VASP calculation (PBEsol) on an optimized crystal structure of La2ScCrMo.

Cell lengths 5.4278, 5.4278, 4.6371 Å; angles 90.00, 90.00, 90.00 degrees
Space group P4/mmm (No. 123)
Asymmetric unit:
1 La 0.0000 0.5000 0.0000
2 Sc 0.0000 0.0000 0.5000
3 Cr 0.5000 0.5000 0.5000
4 Mo 0.5000 0.5000 0.0000

Calculated values
crystal system	tetragonal
total magnetization	0.41	μB per atom
formation energy from the elements	0.77	eV/atom

Entry 20:
VASP calculation (PBEsol) on an optimized crystal structure of MnAl2Sb.

Cell lengths 9.8151, 2.9545, 4.7706 Å; angles 90.00, 102.68, 90.00 degrees
Space group C2/m (No. 12)
Asymmetric unit:
1 Mn 0.0000 0.0000 0.0000
2 Al 0.2294 0.5000 0.2249
3 Sb 0.0000 0.5000 0.5000

Calculated values
crystal system	monoclinic
raw total energy	-43.48	eV per cell
total magnetization	0.67	μB per atom

Calculated V, 145.1; 547.5; 62.8; 108.5; 391.8; 205.6; 1175.7; 64.1; 264.1; 92.3; 579.5; 104.8; 648.6; 153.7; 244.3; 901.9; 127.1; 98.9; 136.6; 135.0 Å³ per cell (same order as the records).